Record 1
VASP calculation (PBE-GGA) on an optimized crystal structure of Zr2NbNi.

## Properties
* energy of formation from the pure elements: 1.98 eV/f.u.
* density of states at the Fermi level: 6.085 states/eV/f.u.

a b c (Å): 3.9972 3.9972 19.5762
angles (deg): 90.00 90.00 90.00
With the nearest neighbours (Å) after each atom.
Space group I-42d (No. 122)
Unique sites:
Zr (0.2468, 0.2500, 0.1250) (multiplicity 8)  4 Zr 2.81-2.84, 2 Ni 2.82, 2 Nb 2.83
Nb (0.0000, 0.0000, 0.5000) (multiplicity 4)  4 Ni 2.83, 4 Zr 2.83
Ni (0.0000, 0.0000, 0.0000) (multiplicity 4)  4 Zr 2.82, 4 Nb 2.83



Record 2
VASP calculation (PBE-GGA) on an optimized crystal structure of ZrNbNi.

## Properties
* energy of formation from the pure elements: -0.49 eV/f.u.
* density of states at the Fermi level: 3.047 states/eV/f.u.

a b c (Å): 3.3111 3.3111 9.4272
angles (deg): 90.00 90.00 90.00
With the nearest neighbours (Å) after each atom.
Space group P4mm (No. 99)
Unique sites:
Zr (0.0000, 0.0000, 0.0000) (multiplicity 1)  4 Ni 2.86, 4 Nb 2.92, 1 Zr 3.14
Zr (0.0000, 0.0000, 0.3326) (multiplicity 1)  8 Ni 2.77-2.78, 1 Nb 3.02
Nb (0.0000, 0.0000, 0.6525) (multiplicity 1)  4 Nb 2.80, 4 Ni 2.80, 1 Zr 3.02
Nb (0.5000, 0.5000, 0.8146) (multiplicity 1)  4 Nb 2.80, 4 Zr 2.92, 1 Ni 3.06
Ni (0.5000, 0.5000, 0.1743) (multiplicity 1)  8 Zr 2.78-2.86, 1 Ni 2.98
Ni (0.5000, 0.5000, 0.4903) (multiplicity 1)  4 Zr 2.77, 5 Nb 2.80-3.06, 1 Ni 2.98